Entry 1:
! Er2TmSc3 (PBE, relaxed); values from VASP
&SYSTEM
  ibrav = 0, nat = 12, ntyp = 3
/
ATOMIC_SPECIES
Er 167.26 Er.upf
Tm 168.93 Tm.upf
Sc 44.96 Sc.upf
CELL_PARAMETERS angstrom
6.2695 0.0000 0.0000
-3.1347 5.4295 0.0000
0.0000 0.0000 10.1916
ATOMIC_POSITIONS crystal
Er 0.0000 0.0000 0.0000
Er 0.0000 0.0000 0.5000
Er 0.3333 0.6667 0.0633
Er 0.6667 0.3333 0.9367
Tm 0.3333 0.6667 0.4372
Tm 0.6667 0.3333 0.5628
Sc 0.1714 0.3428 0.7496
Sc 0.1714 0.8286 0.7496
Sc 0.3428 0.1714 0.2504
Sc 0.6572 0.8286 0.7496
Sc 0.8286 0.1714 0.2504
Sc 0.8286 0.6572 0.2504
! crystal system: trigonal
! DOS at the Fermi energy: 2.130 states/eV per atom
! energy of formation: 236.1 meV per atom
! E above lowest polymorph: 0.189 eV per atom



Entry 2:
! ErTm3Sc4 (PBE, relaxed); values from VASP
&SYSTEM
  ibrav = 0, nat = 8, ntyp = 3
/
ATOMIC_SPECIES
Er 167.26 Er.upf
Tm 168.93 Tm.upf
Sc 44.96 Sc.upf
CELL_PARAMETERS angstrom
3.7289 0.0000 0.0000
0.0000 5.4122 0.0000
0.0000 0.0000 10.8244
ATOMIC_POSITIONS crystal
Er 0.0000 0.0000 0.0000
Tm 0.0000 0.0000 0.5000
Tm 0.0000 0.5000 0.2501
Tm 0.0000 0.5000 0.7499
Sc 0.5000 0.0000 0.2507
Sc 0.5000 0.0000 0.7493
Sc 0.5000 0.5000 0.0000
Sc 0.5000 0.5000 0.5000
! crystal system: orthorhombic
! DOS at the Fermi energy: 1.789 states/eV per atom
! energy of formation: 100.9 meV per atom
! E above lowest polymorph: 0.085 eV per atom



Entry 3:
! Er2Tm5Sc2 (PBE, relaxed); values from VASP
&SYSTEM
  ibrav = 0, nat = 18, ntyp = 3
/
ATOMIC_SPECIES
Er 167.26 Er.upf
Tm 168.93 Tm.upf
Sc 44.96 Sc.upf
CELL_PARAMETERS angstrom
-9.6117 4.0809 3.4086
9.6117 -4.0809 3.4086
9.6117 4.0809 -3.4086
ATOMIC_POSITIONS crystal
Er 0.0000 0.0000 0.0000
Er 0.0000 0.5000 0.5000
Er 0.0809 0.2766 0.3043
Er 0.9723 0.7766 0.6957
Tm 0.0290 0.4448 0.9155
Tm 0.0290 0.6135 0.0842
Tm 0.0467 0.1680 0.6588
Tm 0.0467 0.8880 0.3787
Tm 0.4828 0.2800 0.7029
Tm 0.5092 0.3880 0.3412
Tm 0.5092 0.6680 0.6213
Tm 0.5293 0.1135 0.0845
Tm 0.5293 0.9448 0.9158
Tm 0.5771 0.7800 0.2971
Sc 0.3972 0.5692 0.9133
Sc 0.3972 0.9839 0.3280
Sc 0.6559 0.0692 0.6720
Sc 0.6559 0.4839 0.0867
! crystal system: orthorhombic
! DOS at the Fermi energy: 1.550 states/eV per atom
! energy of formation: 217.3 meV per atom
! E above lowest polymorph: 0.111 eV per atom



Entry 4:
! Er6Tm12Sc (PBE, relaxed); values from VASP
&SYSTEM
  ibrav = 0, nat = 19, ntyp = 3
/
ATOMIC_SPECIES
Er 167.26 Er.upf
Tm 168.93 Tm.upf
Sc 44.96 Sc.upf
CELL_PARAMETERS angstrom
6.4379 3.7169 4.1372
-6.4379 3.7169 4.1372
0.0000 -7.4339 4.1372
ATOMIC_POSITIONS crystal
Er 0.1621 0.5975 0.5975
Er 0.4025 0.4025 0.8379
Er 0.4025 0.8379 0.4025
Er 0.5975 0.1621 0.5975
Er 0.5975 0.5975 0.1621
Er 0.8379 0.4025 0.4025
Tm 0.0000 0.2570 0.7430
Tm 0.0000 0.7430 0.2570
Tm 0.1463 0.1463 0.4170
Tm 0.1463 0.4170 0.1463
Tm 0.2570 0.0000 0.7430
Tm 0.2570 0.7430 0.0000
Tm 0.4170 0.1463 0.1463
Tm 0.5830 0.8537 0.8537
Tm 0.7430 0.0000 0.2570
Tm 0.7430 0.2570 0.0000
Tm 0.8537 0.5830 0.8537
Tm 0.8537 0.8537 0.5830
Sc 0.5000 0.5000 0.5000
! crystal system: trigonal
! DOS at the Fermi energy: 1.748 states/eV per atom
! energy of formation: 224.8 meV per atom
! E above lowest polymorph: 0.046 eV per atom



Entry 5:
! Er12Tm6Sc (PBE, relaxed); values from VASP
&SYSTEM
  ibrav = 0, nat = 19, ntyp = 3
/
ATOMIC_SPECIES
Er 167.26 Er.upf
Tm 168.93 Tm.upf
Sc 44.96 Sc.upf
CELL_PARAMETERS angstrom
5.9898 3.4582 4.7378
-5.9898 3.4582 4.7378
0.0000 -6.9164 4.7378
ATOMIC_POSITIONS crystal
Er 0.0261 0.9587 0.2911
Er 0.0413 0.7089 0.9739
Er 0.1307 0.4604 0.3420
Er 0.2911 0.0261 0.9587
Er 0.3420 0.1307 0.4604
Er 0.4604 0.3420 0.1307
Er 0.5396 0.6580 0.8693
Er 0.6580 0.8693 0.5396
Er 0.7089 0.9739 0.0413
Er 0.8693 0.5396 0.6580
Er 0.9587 0.2911 0.0261
Er 0.9739 0.0413 0.7089
Tm 0.2300 0.7678 0.6158
Tm 0.2322 0.3842 0.7700
Tm 0.3842 0.7700 0.2322
Tm 0.6158 0.2300 0.7678
Tm 0.7678 0.6158 0.2300
Tm 0.7700 0.2322 0.3842
Sc 0.5000 0.5000 0.5000
! crystal system: trigonal
! DOS at the Fermi energy: 2.020 states/eV per atom
! energy of formation: 175.1 meV per atom
! E above lowest polymorph: 0.000 eV per atom



Entry 6:
! Er7Tm3Sc2 (PBE, relaxed); values from VASP
&SYSTEM
  ibrav = 0, nat = 12, ntyp = 3
/
ATOMIC_SPECIES
Er 167.26 Er.upf
Tm 168.93 Tm.upf
Sc 44.96 Sc.upf
CELL_PARAMETERS angstrom
2.7790 -18.2984 0.0000
2.7790 18.2984 0.0000
0.0000 0.0000 3.5086
ATOMIC_POSITIONS crystal
Er 0.0000 0.0000 0.0000
Er 0.0735 0.9265 0.5000
Er 0.2302 0.7698 0.0000
Er 0.4052 0.5948 0.0000
Er 0.5948 0.4052 0.0000
Er 0.7698 0.2302 0.0000
Er 0.9265 0.0735 0.5000
Tm 0.3157 0.6843 0.5000
Tm 0.5000 0.5000 0.5000
Tm 0.6843 0.3157 0.5000
Sc 0.1480 0.8520 0.0000
Sc 0.8520 0.1480 0.0000
! crystal system: orthorhombic
! DOS at the Fermi energy: 1.551 states/eV per atom
! energy of formation: 125.3 meV per atom
! E above lowest polymorph: 0.000 eV per atom



Which formula does entry 5 have? Er12Tm6Sc



Among the records above, which one has the lowest DOS at the Fermi energy? Er2Tm5Sc2



What is the formula in the sixth record? Er7Tm3Sc2